The following is a DFT calculation (PBE+U) of a relaxed structure of NaGaWF2.

Output
The calculation puts the density of states at the Fermi level at 0.152 states/eV per atom. Its crystal system is tetragonal. For the total energy, the calculation gives -17.649 eV per cell.

a b c (Å): 4.102 5.558 4.102
angles (deg): 90.00 90.00 90.00
Site moments in Bohr magnetons follow the coordinates.
Sites, in units of the cell vectors:
Na 0.000 0.000 0.000  0.01
Ga 0.500 0.500 0.500  -0.01
W 0.000 0.500 0.000  3.28
F 0.000 0.000 0.500  0.05
F 0.500 0.000 0.000  0.09